Density functional theory data (PBE) for a geometry-optimized BaLiGeAs2 structure.

Uncorrected energy = -20.1 eV per formula unit
E_form = -0.478 eV per atom
ρ = 4.82 g/cm³
Magnetic moment = 0.000 μB per formula unit

CIF file:
```
data_BaLiGeAs2
_chemical_formula_sum 'Ba4 Li4 Ge4 As8'
_cell_length_a 6.346
_cell_length_b 12.457
_cell_length_c 6.390
_cell_angle_alpha 90.00
_cell_angle_beta 90.00
_cell_angle_gamma 90.00
_space_group_name_H-M_alt 'C m m e'
_space_group_IT_number 67
_space_group_name_Hall '-C 2a 2'
loop_
_atom_site_label
_atom_site_fract_x
_atom_site_fract_y
_atom_site_fract_z
Ba1 0.000 0.250 0.225
Li1 0.250 0.000 0.500
Ge1 0.000 0.000 0.000
As1 0.000 0.147 0.721
```